[1]
Compound: Ce2NiSb
Source: Alexandria via LeMat-Bulk
Functional: PBE
Structure: optimized geometry

Cell lengths 4.1353, 4.1353, 7.6376 Å; angles 74.29, 74.29, 60.00 degrees
Fractional positions:
Ni 0.0000 0.0000 0.0000
Ce 0.7378 0.7378 0.7866
Ce 0.2622 0.2622 0.2134
Sb 0.5000 0.5000 0.5000

Values from the calculation:
Crystal system: trigonal
Electronic total energy (eV per atom): -5.924
Formation energy from raw total energies (eV/atom): -0.48
Density of states at the Fermi level (states/eV/cell): 9.96


[2]
Compound: Cd3GeN
Source: Alexandria via LeMat-Bulk
Functional: PBE
Structure: optimized geometry

Cell lengths 4.6234, 4.6234, 4.6234 Å; angles 90.00, 90.00, 90.00 degrees
Fractional positions:
Cd 0.0000 0.5000 0.0000
Cd 0.0000 0.0000 0.5000
Cd 0.5000 0.0000 0.0000
Ge 0.5000 0.5000 0.5000
N 0.0000 0.0000 0.0000

Values from the calculation:
Crystal system: cubic
Electronic total energy (eV per atom): -2.601
Formation energy from raw total energies (eV/atom): 0.54
Density of states at the Fermi level (states/eV/cell): 2.80


[3]
Compound: ZrIr3O
Source: Alexandria via LeMat-Bulk
Functional: PBE
Structure: optimized geometry

Cell lengths 4.9204, 4.9204, 4.9204 Å; angles 90.00, 90.00, 90.00 degrees
Fractional positions:
Ir 0.0000 0.5000 0.0000
Ir 0.0000 0.0000 0.5000
Ir 0.5000 0.0000 0.0000
Zr 0.0000 0.0000 0.0000
O 0.5000 0.5000 0.5000

Values from the calculation:
Crystal system: cubic
Electronic total energy (eV per atom): -5.725
Formation energy from raw total energies (eV/atom): 2.29
Density of states at the Fermi level (states/eV/cell): 7.43


[4]
Compound: TlAg3Br8
Source: Alexandria via LeMat-Bulk
Functional: PBE
Structure: optimized geometry

Cell lengths 7.8055, 8.5572, 7.3954 Å; angles 116.32, 90.00, 117.13 degrees
Fractional positions:
Ag 0.5000 0.5000 0.0000
Ag 0.5000 0.0000 0.0000
Ag 0.0000 0.5000 0.0000
Br 0.7728 0.5457 0.7689
Br 0.2549 0.0020 0.7439
Br 0.2529 0.9980 0.2561
Br 0.2568 0.5137 0.7664
Br 0.7471 0.0020 0.7439
Br 0.7432 0.4863 0.2336
Br 0.2272 0.4543 0.2311
Br 0.7451 0.9980 0.2561
Tl 0.0000 0.0000 0.0000

Values from the calculation:
Crystal system: monoclinic
Electronic total energy (eV per atom): -2.335
Formation energy from raw total energies (eV/atom): -0.31
Density of states at the Fermi level (states/eV/cell): 10.47


[5]
Compound: LiYIn2Os
Source: Alexandria via LeMat-Bulk
Functional: PBE
Structure: optimized geometry

Cell lengths 4.6422, 4.6122, 4.6422 Å; angles 90.00, 90.00, 90.00 degrees
Fractional positions:
In 0.5000 0.0000 0.0000
In 0.0000 0.0000 0.5000
Y 0.5000 0.5000 0.5000
Li 0.0000 0.0000 0.0000
Os 0.0000 0.5000 0.0000

Values from the calculation:
ΔE_f (eV/atom): 0.32
Crystal system: tetragonal
Electronic total energy (eV per atom): -4.697
Density of states at the Fermi level (states/eV/cell): 3.51


[6]
Compound: OsRh2Au2
Source: Alexandria via LeMat-Bulk
Functional: PBE
Structure: optimized geometry

Cell lengths 6.4433, 6.4433, 4.1232 Å; angles 90.00, 90.00, 90.00 degrees
Fractional positions:
Rh 0.8595 0.6405 0.0000
Rh 0.3595 0.8595 0.0000
Rh 0.6405 0.1405 0.0000
Rh 0.1405 0.3595 0.0000
Au 0.1624 0.6624 0.5000
Au 0.6624 0.8376 0.5000
Au 0.3376 0.1624 0.5000
Au 0.8376 0.3376 0.5000
Os 0.5000 0.5000 0.0000
Os 0.0000 0.0000 0.0000

Values from the calculation:
ΔE_f (eV/atom): 0.67
Crystal system: tetragonal
Electronic total energy (eV per atom): -5.831
Density of states at the Fermi level (states/eV/cell): 11.38


What did the fourth record say?
Compound: TlAg3Br8
Source: Alexandria via LeMat-Bulk
Functional: PBE
Structure: optimized geometry

Cell lengths 7.8055, 8.5572, 7.3954 Å; angles 116.32, 90.00, 117.13 degrees
Fractional positions:
Ag 0.5000 0.5000 0.0000
Ag 0.5000 0.0000 0.0000
Ag 0.0000 0.5000 0.0000
Br 0.7728 0.5457 0.7689
Br 0.2549 0.0020 0.7439
Br 0.2529 0.9980 0.2561
Br 0.2568 0.5137 0.7664
Br 0.7471 0.0020 0.7439
Br 0.7432 0.4863 0.2336
Br 0.2272 0.4543 0.2311
Br 0.7451 0.9980 0.2561
Tl 0.0000 0.0000 0.0000

Values from the calculation:
Crystal system: monoclinic
Electronic total energy (eV per atom): -2.335
Formation energy from raw total energies (eV/atom): -0.31
Density of states at the Fermi level (states/eV/cell): 10.47


- Which formula does entry 3 have?
  ZrIr3O


- The lowest density of states at the Fermi level belongs to which entry?
  Cd3GeN